[1]
First-principles (PBE) data for a geometry-optimized LiEr2TlHg4 structure, as listed in the Alexandria database.

Symmetry: No. 166
DFT formation energy (eV/atom): -0.36

a b c (Å): 8.788 8.788 8.788
angles (deg): 33.65 33.65 33.65
Positions (direct):
Li 0.000 0.000 0.000
Er 0.246 0.246 0.246
Er 0.754 0.754 0.754
Tl 0.500 0.500 0.500
Hg 0.115 0.115 0.115
Hg 0.366 0.366 0.366
Hg 0.634 0.634 0.634
Hg 0.885 0.885 0.885

[2]
First-principles (PBE) data for a geometry-optimized Rb2Sb5Au3 structure, as listed in the Alexandria database.

ΔE_f (raw) (eV/atom): -0.238
Symmetry: No. 72

a b c (Å): 9.792 9.792 9.792
angles (deg): 109.53 86.62 136.43
Positions (direct):
Rb 0.126 0.249 0.376
Rb 0.374 0.749 0.123
Rb 0.626 0.251 0.877
Rb 0.874 0.751 0.624
Sb 0.002 0.250 0.752
Sb 0.112 0.865 0.977
Sb 0.250 0.750 0.500
Sb 0.388 0.365 0.753
Sb 0.498 0.250 0.248
Sb 0.502 0.750 0.752
Sb 0.612 0.635 0.247
Sb 0.750 0.250 0.500
Sb 0.888 0.135 0.023
Sb 0.998 0.750 0.248
Au 0.126 0.614 0.740
Au 0.250 0.250 0.000
Au 0.374 0.114 0.488
Au 0.626 0.886 0.512
Au 0.750 0.750 0.000
Au 0.874 0.386 0.260

[3]
First-principles (PBE) data for a geometry-optimized Pr3NdSm5 structure, as listed in the Alexandria database.

Symmetry: No. 12
DFT formation energy (eV/atom): 0.36

a b c (Å): 9.489 9.489 12.460
angles (deg): 126.15 126.15 52.77
Positions (direct):
Pr 0.000 0.000 0.000
Pr 0.000 0.000 0.500
Pr 0.160 0.160 0.356
Pr 0.299 0.299 0.699
Pr 0.701 0.701 0.301
Pr 0.840 0.840 0.644
Nd 0.111 0.111 0.871
Nd 0.889 0.889 0.129
Sm 0.094 0.482 0.226
Sm 0.318 0.682 0.000
Sm 0.360 0.360 0.052
Sm 0.445 0.445 0.583
Sm 0.482 0.094 0.226
Sm 0.518 0.906 0.774
Sm 0.555 0.555 0.417
Sm 0.640 0.640 0.948
Sm 0.682 0.318 0.000
Sm 0.906 0.518 0.774

[4]
First-principles (PBE) data for a geometry-optimized LaScBe4 structure, as listed in the Alexandria database.

Symmetry: No. 216
DFT formation energy (eV/atom): 0.10

a b c (Å): 4.992 4.992 4.992
angles (deg): 60.00 60.00 60.00
Positions (direct):
La 0.000 0.000 0.000
Sc 0.750 0.750 0.750
Be 0.379 0.379 0.379
Be 0.379 0.379 0.864
Be 0.379 0.864 0.379
Be 0.864 0.379 0.379

[5]
First-principles (PBE) data for a geometry-optimized MgBiMo2 structure, as listed in the Alexandria database.

Distance to the lowest polymorph of the same formula (kcal/mol of atoms): 0.00
Symmetry: No. 122
DFT formation energy (eV/atom): 0.71

a b c (Å): 10.545 10.545 10.545
angles (deg): 158.04 158.04 31.26
Positions (direct):
Mg 0.000 0.000 0.000
Mg 0.750 0.250 0.500
Bi 0.250 0.750 0.500
Bi 0.500 0.500 0.000
Mo 0.074 0.625 0.949
Mo 0.375 0.324 0.449
Mo 0.676 0.125 0.051
Mo 0.875 0.926 0.551

[6]
First-principles (PBE) data for a geometry-optimized ScGaSb structure, as listed in the Alexandria database.

ΔE_f (raw) (eV/atom): -0.264
Distance to the lowest polymorph of the same formula (kcal/mol of atoms): 6.20
Symmetry: No. 156

a b c (Å): 4.529 4.529 3.889
angles (deg): 90.00 90.00 120.00
Positions (direct):
Sc 0.000 0.000 0.000
Ga 0.667 0.333 0.261
Sb 0.333 0.667 0.577

[7]
First-principles (PBE) data for a geometry-optimized CaSiOs2 structure, as listed in the Alexandria database.

ΔE_f (raw) (eV/atom): 0.401
Symmetry: No. 122

a b c (Å): 8.871 8.871 8.871
angles (deg): 148.76 148.76 44.76
Positions (direct):
Ca 0.000 0.000 0.000
Ca 0.750 0.250 0.500
Si 0.250 0.750 0.500
Si 0.500 0.500 0.000
Os 0.340 0.625 0.215
Os 0.375 0.590 0.715
Os 0.410 0.125 0.785
Os 0.875 0.660 0.285

[8]
First-principles (PBE) data for a geometry-optimized CaSO3 structure, as listed in the Alexandria database.

ΔE_f (raw) (eV/atom): 0.198
Symmetry: No. 221

a b c (Å): 4.467 4.467 4.467
angles (deg): 90.00 90.00 90.00
Positions (direct):
Ca 0.000 0.000 0.000
S 0.500 0.500 0.500
O 0.000 0.000 0.500
O 0.000 0.500 0.000
O 0.500 0.000 0.000

[9]
First-principles (PBE) data for a geometry-optimized LiBSe2 structure, as listed in the Alexandria database.

ΔE_f (raw) (eV/atom): -0.301
Symmetry: No. 160

a b c (Å): 6.900 6.900 6.900
angles (deg): 30.35 30.35 30.35
Positions (direct):
Li 0.000 0.000 0.000
B 0.488 0.488 0.488
Se 0.391 0.391 0.391
Se 0.867 0.867 0.867

[10]
First-principles (PBE) data for a geometry-optimized PrSm2Pb2 structure, as listed in the Alexandria database.

Distance to the lowest polymorph of the same formula (kcal/mol of atoms): 4.23
Symmetry: No. 194
DFT formation energy (eV/atom): -0.15

a b c (Å): 5.265 5.265 13.254
angles (deg): 90.00 90.00 120.00
Positions (direct):
Pr 0.000 0.000 0.250
Pr 0.000 0.000 0.750
Sm 0.000 0.000 0.000
Sm 0.000 0.000 0.500
Sm 0.333 0.667 0.250
Sm 0.667 0.333 0.750
Pb 0.333 0.667 0.621
Pb 0.333 0.667 0.879
Pb 0.667 0.333 0.121
Pb 0.667 0.333 0.379

[11]
First-principles (PBE) data for a geometry-optimized SrY3Ir structure, as listed in the Alexandria database.

Distance to the lowest polymorph of the same formula (kcal/mol of atoms): 12.03
Symmetry: No. 99
DFT formation energy (eV/atom): 0.15

a b c (Å): 4.504 4.504 9.840
angles (deg): 90.00 90.00 90.00
Positions (direct):
Sr 0.000 0.000 0.000
Y 0.000 0.000 0.411
Y 0.000 0.500 0.695
Y 0.500 0.000 0.695
Ir 0.500 0.500 0.862

[12]
First-principles (PBE) data for a geometry-optimized PrGdHoHg structure, as listed in the Alexandria database.

Symmetry: No. 216
DFT formation energy (eV/atom): -0.08

a b c (Å): 5.495 5.495 5.495
angles (deg): 60.00 60.00 60.00
Positions (direct):
Pr 0.000 0.000 0.000
Gd 0.500 0.500 0.500
Ho 0.750 0.750 0.750
Hg 0.250 0.250 0.250

Number 1: total magnetization 0.00 μB/cell. Number 2: total magnetization 0.00 μB/cell. Number 3: total magnetization 0.00 μB/cell. Number 4: total magnetization 0.00 μB/cell. Number 5: total magnetization 0.00 μB/cell. Number 6: total magnetization 0.00 μB/cell. Number 7: total magnetization 0.00 μB/cell. Number 8: total magnetization 6.00 μB/cell. Number 9: total magnetization 0.00 μB/cell. Number 10: total magnetization 0.00 μB/cell. Number 11: total magnetization 0.33 μB/cell. Number 12: total magnetization 7.94 μB/cell.